Below is an optimized crystal structure of Sc2BiSe, with properties calculated at the PBE level.

Values from the calculation:
As for the density of states at the Fermi level: 0.987 states/eV/atom. Its space group is Fm-3m (225). The polymorph energy (0 for the lowest one) is 132.9 kJ/mol of formula units.

abc: 5.0653 5.0653 5.0653
angles: 60.00 60.00 60.00
Fractional positions:
Sc1 0.2500 0.2500 0.2500
Sc2 0.7500 0.7500 0.7500
Bi1 0.0000 0.0000 0.0000
Se1 0.5000 0.5000 0.5000

Below is an optimized crystal structure of La2ZnIn, with properties calculated at the PBE level.

Values from the calculation:
As for the density of states at the Fermi level: 1.296 states/eV/atom. Its space group is R-3m (166). The value obtained for the formation energy is -183 meV per atom.

abc: 9.9565 9.9565 9.9565
angles: 22.31 22.31 22.31
Fractional positions:
La1 0.2450 0.2450 0.2450
La2 0.7550 0.7550 0.7550
Zn1 0.5000 0.5000 0.5000
In1 0.0000 0.0000 0.0000

Below is an optimized crystal structure of LiP2Os, with properties calculated at the PBE level.

Values from the calculation:
As for the density of states at the Fermi level: 0.480 states/eV/atom. Its space group is I-4m2 (119). The polymorph energy (0 for the lowest one) is 150.1 kJ/mol of formula units. The value obtained for the formation energy is 148 meV per atom.

abc: 4.6946 4.6946 4.6946
angles: 134.85 134.85 65.76
Fractional positions:
Li1 0.0000 0.0000 0.0000
P1 0.5000 0.5000 0.0000
P2 0.7500 0.2500 0.5000
Os1 0.2500 0.7500 0.5000